Material: KPtCl2
Method: DFT, PBE
State: optimized geometry

Geometry as POSCAR:
```
KPtCl2
1.0
2.117 1.222 7.905
-2.117 1.222 7.905
0.000 -2.444 7.905
K Pt Cl
1 1 2
Cartesian
0.000 0.000 0.000
0.000 0.000 11.858
0.000 0.000 2.879
0.000 0.000 20.837
```

Calculated values
uncorrected formation energy = -226 meV/atom
total moment = 1.0 μB per cell
energy above the lowest structure with this stoichiometry = 2.300 eV/f.u.

Material: Tl2InFe
Method: DFT, PBE
State: optimized geometry

Geometry as POSCAR:
```
Tl2InFe
1.0
3.625 0.000 0.000
0.000 4.713 0.000
-1.209 0.000 5.726
Tl In Fe
2 1 1
Cartesian
0.208 0.000 1.558
2.209 0.000 4.168
1.813 2.356 0.000
1.208 2.356 2.863
```

Calculated values
total moment = 2.7 μB per cell
energy above the lowest structure with this stoichiometry = 0.686 eV/f.u.

Material: Sc2Si4Mo3
Method: DFT, PBE
State: optimized geometry

Geometry as POSCAR:
```
Sc2Si4Mo3
1.0
6.713 0.000 0.000
0.000 6.769 0.000
-2.122 0.000 6.220
Sc Si Mo
4 8 6
Cartesian
1.153 1.156 0.379
0.092 2.229 3.490
4.499 4.540 2.731
3.438 5.613 5.841
-1.252 3.646 5.353
-0.191 6.507 2.243
1.493 0.890 5.413
2.554 2.495 2.302
2.037 4.274 3.918
3.098 5.879 0.808
4.782 0.262 3.978
5.843 3.123 0.867
1.125 4.503 1.541
0.064 5.650 4.651
2.296 0.000 3.110
3.357 3.384 0.000
4.527 1.119 1.569
3.466 2.266 4.679
```

Calculated values
uncorrected formation energy = -723 meV/atom
total moment = 0.0 μB per cell
energy above the lowest structure with this stoichiometry = 0.115 eV/f.u.

Material: KMnCrSi2
Method: DFT, PBE
State: optimized geometry

Geometry as POSCAR:
```
KMnCrSi2
1.0
4.468 0.000 0.000
0.000 4.468 0.000
0.000 0.000 4.884
K Mn Cr Si
1 1 1 2
Cartesian
0.000 0.000 0.000
2.234 2.234 2.442
2.234 2.234 0.000
0.000 2.234 2.442
2.234 0.000 2.442
```

Calculated values
uncorrected formation energy = 423 meV/atom
total moment = 3.9 μB per cell

Material: BaSnI2
Method: DFT, PBE
State: optimized geometry

Geometry as POSCAR:
```
BaSnI2
1.0
-2.896 2.896 10.924
2.896 -2.896 10.924
2.896 2.896 -10.924
Ba Sn I
2 2 4
Cartesian
0.000 0.000 0.000
0.000 2.896 5.462
2.896 0.000 5.462
0.000 0.000 10.924
1.448 -1.328 8.193
1.567 1.448 2.731
1.448 4.224 -2.731
1.328 1.448 13.654
```

Calculated values
uncorrected formation energy = -692 meV/atom
total moment = 0.0 μB per cell
energy above the lowest structure with this stoichiometry = 0.131 eV/f.u.

Material: AcGd2Be
Method: DFT, PBE
State: optimized geometry

Geometry as POSCAR:
```
AcGd2Be
1.0
3.584 0.000 0.000
0.000 3.584 0.000
0.000 0.000 9.044
Ac Gd Be
1 2 1
Cartesian
0.000 0.000 0.000
1.792 1.792 2.908
1.792 1.792 6.136
0.000 0.000 4.522
```

Calculated values
total moment = 14.6 μB per cell
energy above the lowest structure with this stoichiometry = 0.000 eV/f.u.